1.
Here is a relaxed structure of ZrCdP2 from the Alexandria database. Energies are from PBE.

Lattice parameters (Å, degrees): 4.515 4.515 3.477 90.00 90.00 90.00
Fractional coordinates of all 4 atoms:
Zr: 0.000 0.000 0.000
Cd: 0.500 0.500 0.000
P: 0.000 0.500 0.500
P: 0.500 0.000 0.500

Properties
ρ = 6.223 g cm⁻³
calculated formation energy = -1.33 eV/f.u.

=====

2.
Here is a relaxed structure of Cs2TiSF from the Alexandria database. Energies are from PBE.

Lattice parameters (Å, degrees): 6.978 6.978 4.187 90.00 90.00 90.00
Fractional coordinates of all 5 atoms:
Cs: 0.000 0.500 0.000
Cs: 0.500 0.000 0.000
Ti: 0.000 0.000 0.500
S: 0.500 0.500 0.000
F: 0.500 0.500 0.500

Properties
ρ = 2.971 g cm⁻³
total DFT energy (no corrections) = -3.0013 eV per atom

=====

3.
Here is a relaxed structure of K2LaPPb from the Alexandria database. Energies are from PBE.

Lattice parameters (Å, degrees): 5.858 5.858 5.688 90.00 90.00 90.00
Fractional coordinates of all 5 atoms:
K: 0.000 0.500 0.000
K: 0.500 0.000 0.000
La: 0.000 0.000 0.500
P: 0.500 0.500 0.000
Pb: 0.500 0.500 0.500

Properties
ρ = 3.873 g cm⁻³
calculated formation energy = 1.78 eV/f.u.